PmMgGe2, optimized geometry, DFT PBE-GGA; VASP energy = -17.52 eV for the cell shown; space group = No. 123
1.0
4.544 0.000 0.000
0.000 4.544 0.000
0.000 0.000 4.172
Pm Mg Ge
1 1 2
Direct
0.000 0.000 0.000
0.500 0.500 0.000
0.000 0.500 0.500
0.500 0.000 0.500

=====

PmMgGe, optimized geometry, DFT PBE-GGA; VASP energy = -24.30 eV for the cell shown; space group = No. 166
1.0
2.321 1.340 8.392
-2.321 1.340 8.392
0.000 -2.680 8.392
Pm Mg Ge
2 2 2
Direct
0.121 0.121 0.121
0.879 0.879 0.879
0.371 0.371 0.371
0.629 0.629 0.629
0.259 0.259 0.259
0.741 0.741 0.741

=====

Pm5Mg2Ge5, optimized geometry, DFT PBE-GGA; VASP energy = -56.75 eV for the cell shown; space group = No. 12
1.0
6.932 -2.112 0.000
6.932 2.112 0.000
-4.560 0.000 10.961
Pm Mg Ge
5 2 5
Direct
0.000 0.000 0.000
0.157 0.157 0.526
0.218 0.218 0.838
0.782 0.782 0.162
0.843 0.843 0.474
0.448 0.448 0.723
0.552 0.552 0.277
0.187 0.187 0.289
0.385 0.385 0.071
0.500 0.500 0.500
0.615 0.615 0.929
0.813 0.813 0.711

=====

Pm6MgGe4, optimized geometry, DFT PBE-GGA; VASP energy = -52.88 eV for the cell shown; space group = No. 121
1.0
-3.801 3.801 5.670
3.801 -3.801 5.670
3.801 3.801 -5.670
Pm Mg Ge
6 1 4
Direct
0.000 0.500 0.500
0.014 0.014 0.677
0.337 0.337 0.323
0.500 0.000 0.500
0.663 0.986 0.000
0.986 0.663 0.000
0.500 0.500 0.000
0.126 0.126 0.439
0.313 0.874 0.000
0.687 0.687 0.561
0.874 0.313 0.000

=====

Pm3MgGe, optimized geometry, DFT PBE-GGA; VASP energy = -65.49 eV for the cell shown; space group = No. 221
1.0
7.517 0.000 0.000
0.000 7.517 0.000
0.000 0.000 7.517
Pm Mg Ge
9 3 3
Direct
0.000 0.000 0.000
0.265 0.265 0.265
0.265 0.265 0.735
0.265 0.735 0.265
0.265 0.735 0.735
0.735 0.265 0.265
0.735 0.265 0.735
0.735 0.735 0.265
0.735 0.735 0.735
0.000 0.000 0.500
0.000 0.500 0.000
0.500 0.000 0.000
0.000 0.500 0.500
0.500 0.000 0.500
0.500 0.500 0.000

=====

Pm3Mg4Ge4, optimized geometry, DFT PBE-GGA; VASP energy = -44.15 eV for the cell shown; space group = No. 38
1.0
9.643 0.000 0.000
0.000 2.139 6.302
0.000 -2.139 6.302
Pm Mg Ge
3 4 4
Direct
0.000 0.000 0.000
0.314 0.111 0.111
0.686 0.111 0.111
0.000 0.295 0.295
0.252 0.816 0.816
0.500 0.367 0.367
0.748 0.816 0.816
0.000 0.672 0.672
0.226 0.445 0.445
0.500 0.702 0.702
0.774 0.445 0.445

=====

Pm2MgGe4, optimized geometry, DFT PBE-GGA; VASP energy = -31.77 eV for the cell shown; space group = No. 115
1.0
4.109 0.000 0.000
0.000 4.109 0.000
0.000 0.000 10.084
Pm Mg Ge
2 1 4
Direct
0.000 0.500 0.238
0.500 0.000 0.762
0.000 0.000 0.500
0.000 0.000 0.000
0.000 0.500 0.696
0.500 0.000 0.304
0.500 0.500 0.000

=====

Pm2MgGe, optimized geometry, DFT PBE-GGA; VASP energy = -69.58 eV for the cell shown; space group = No. 63
1.0
4.328 0.000 0.000
0.000 14.658 0.000
0.000 0.000 7.386
Pm Mg Ge
8 4 4
Direct
0.000 0.138 0.006
0.000 0.138 0.494
0.000 0.862 0.506
0.000 0.862 0.994
0.500 0.362 0.506
0.500 0.362 0.994
0.500 0.638 0.006
0.500 0.638 0.494
0.000 0.493 0.250
0.000 0.507 0.750
0.500 0.007 0.750
0.500 0.993 0.250
0.000 0.304 0.250
0.000 0.696 0.750
0.500 0.196 0.750
0.500 0.804 0.250